# Dy3Y2HoAs6

Crystalline Dy3Y2HoAs6 at its relaxed geometry (PBE-GGA, Alexandria via LeMat-Bulk).

- Space group: C2/m (12)
- Magnetization: 0.00 μB/f.u.
- VASP energy: -6.48 eV/atom
- DFT formation energy: -1.542 eV/atom

abc: 4.1179 8.2323 9.2046
angles: 102.90 102.93 90.00
Last column: nearest neighbours and their distance in Å.
Sites, in units of the cell vectors:
1 Dy 0.5000 0.5000 0.0000  6 As 2.91-2.92
2 Dy 0.8332 0.1667 0.6665  6 As 2.91-2.92
3 Dy 0.1668 0.8333 0.3335  6 As 2.91-2.92
4 Y 0.8334 0.6669 0.6668  6 As 2.91-2.92
5 Y 0.1666 0.3331 0.3332  6 As 2.91-2.92
6 Ho 0.5000 0.0000 0.0000  6 As 2.90-2.91
7 As 0.3337 0.9175 0.6674  1 Ho 2.90, 3 Dy 2.91-2.92, 2 Y 2.91
8 As 0.6665 0.5836 0.3330  3 Dy 2.91, 3 Y 2.91-2.92
9 As 0.6663 0.0825 0.3326  1 Ho 2.90, 3 Dy 2.91-2.92, 2 Y 2.91
10 As 0.9998 0.2491 0.9996  2 Ho 2.91, 3 Dy 2.91-2.92, 1 Y 2.91
11 As 0.0002 0.7509 0.0004  2 Ho 2.91, 3 Dy 2.91-2.92, 1 Y 2.91
12 As 0.3335 0.4164 0.6670  3 Dy 2.91, 3 Y 2.91-2.92